## Cs2TeBr2F4 (PBE)

Data for crystalline Cs2TeBr2F4 at its relaxed geometry.

Summary:
- Total magnetization: 0.00 μB per formula unit
- Raw formation energy: -2.00 eV/atom

Lattice parameters (Å, degrees): 7.0553 7.0553 7.0553 96.82 116.14 116.14
Last column: nearest neighbours and their distance in Å.
Atoms (fractional coordinates):
F: 0.0000 0.8025 0.1975  1 Te 2.08
F: 0.6050 0.8025 0.8025  1 Te 2.08
F: 0.3950 0.1975 0.1975  1 Te 2.08
F: 0.0000 0.1975 0.8025  1 Te 2.08
Cs: 0.5000 0.7500 0.2500  8 F 3.57, 4 Br 3.76
Cs: 0.5000 0.2500 0.7500  8 F 3.57, 4 Br 3.76
Br: 0.0000 0.7046 0.7046  1 Te 2.77
Br: 0.0000 0.2954 0.2954  1 Te 2.77
Te: 0.0000 0.0000 0.0000  4 F 2.08